Material: HoTmAlGa
Method: DFT, PBE
State: relaxed

Lattice parameters (Å, degrees): 5.0358 5.0358 5.0358 60.00 60.00 60.00
Last column: nearest neighbours and their distance in Å.
Atoms (fractional coordinates):
Ho1 0.0000 0.0000 0.0000  4 Al 3.08, 4 Ga 3.08
Tm1 0.5000 0.5000 0.5000  4 Al 3.08, 4 Ga 3.08
Ga1 0.2500 0.2500 0.2500  4 Ho 3.08, 4 Tm 3.08
Al1 0.7500 0.7500 0.7500  4 Ho 3.08, 4 Tm 3.08

Output
- energy (eV/atom) = -4.43
- ΔE to the lowest computed polymorph (meV/atom) = 32
- calculated volume (Å³/cell) = 90
- total magnetization (μB per formula unit) = 0.0
- symmetry = F-43m, No. 216
- D(E_F) (states/eV per cell) = 1.26

---

Material: HoTmAlGa
Method: DFT, PBE
State: relaxed

Lattice parameters (Å, degrees): 4.3719 4.0302 5.8664 90.00 111.88 90.00
Last column: nearest neighbours and their distance in Å.
Atoms (fractional coordinates):
Ho1 0.1387 0.0000 0.2774  4 Ga 3.05, 3 Al 3.12-3.19
Al1 0.4255 0.0000 0.8510  2 Ga 2.61
Ga1 0.5776 0.5000 0.1552  2 Al 2.61
Tm1 0.8582 0.5000 0.7164  3 Ga 3.06-3.24, 4 Al 3.06

Output
- energy (eV/atom) = -4.46
- ΔE to the lowest computed polymorph (meV/atom) = 0
- calculated volume (Å³/cell) = 96
- total magnetization (μB per formula unit) = 0.0
- symmetry = Amm2, No. 38
- D(E_F) (states/eV per cell) = 2.98

---

Material: YHoAlGa
Method: DFT, PBE
State: relaxed

Lattice parameters (Å, degrees): 5.0717 5.0717 5.0717 60.00 60.00 60.00
Last column: nearest neighbours and their distance in Å.
Atoms (fractional coordinates):
Y1 0.7500 0.7500 0.7500  4 Al 3.11, 4 Ga 3.11
Ho1 0.2500 0.2500 0.2500  4 Al 3.11, 4 Ga 3.11
Al1 0.5000 0.5000 0.5000  4 Ho 3.11, 4 Y 3.11
Ga1 0.0000 0.0000 0.0000  4 Ho 3.11, 4 Y 3.11

Output
- energy (eV/atom) = -4.94
- ΔE to the lowest computed polymorph (meV/atom) = 40
- calculated volume (Å³/cell) = 92
- total magnetization (μB per formula unit) = 0.0
- symmetry = F-43m, No. 216
- D(E_F) (states/eV per cell) = 1.55

---

Material: Y2Ho2AlGa4
Method: DFT, PBE
State: relaxed

Lattice parameters (Å, degrees): 6.6078 6.6078 6.6078 96.43 116.36 116.36
Last column: nearest neighbours and their distance in Å.
Atoms (fractional coordinates):
Ga1 0.0000 0.2507 0.7493  1 Al 2.47
Ga2 0.0000 0.7493 0.2507  1 Al 2.47
Ga3 0.4986 0.7493 0.7493  1 Al 2.47
Ga4 0.5014 0.2507 0.2507  1 Al 2.47
Y1 0.5000 0.7500 0.2500  8 Ga 3.30, 4 Ho 3.53
Y2 0.5000 0.2500 0.7500  8 Ga 3.30, 4 Ho 3.53
Ho1 0.0000 0.6867 0.6867  1 Al 2.76, 4 Ga 2.96
Ho2 0.0000 0.3133 0.3133  1 Al 2.76, 4 Ga 2.96
Al1 0.0000 0.0000 0.0000  4 Ga 2.47, 2 Ho 2.76

Output
- energy (eV/atom) = -4.47
- calculated volume (Å³/cell) = 214
- total magnetization (μB per formula unit) = 0.0
- symmetry = I4/mmm, No. 139
- D(E_F) (states/eV per cell) = 6.91

---

Material: YHoAlGa
Method: DFT, PBE
State: relaxed

Lattice parameters (Å, degrees): 4.3957 4.0647 5.9190 90.00 111.80 90.00
Last column: nearest neighbours and their distance in Å.
Atoms (fractional coordinates):
Ho1 0.1419 0.0000 0.2839  4 Al 3.09, 3 Ga 3.09-3.26
Y1 0.8612 0.5000 0.7224  4 Ga 3.07, 3 Al 3.16-3.20
Ga1 0.4235 0.0000 0.8470  2 Al 2.62
Al1 0.5734 0.5000 0.1467  2 Ga 2.62

Output
- energy (eV/atom) = -4.98
- ΔE to the lowest computed polymorph (meV/atom) = 0
- calculated volume (Å³/cell) = 98
- total magnetization (μB per formula unit) = 0.0
- symmetry = Amm2, No. 38
- D(E_F) (states/eV per cell) = 3.35

---

Material: HoAlZn2Ga
Method: DFT, PBE
State: relaxed

Lattice parameters (Å, degrees): 4.1698 5.9664 8.6274 90.00 90.00 110.45
Last column: nearest neighbours and their distance in Å.
Atoms (fractional coordinates):
Zn1 0.3478 0.6955 0.9832  2 Ga 2.70, 2 Al 2.75-2.76, 3 Ho 2.85-2.94
Zn2 0.6522 0.3045 0.4832  2 Ga 2.70, 2 Al 2.75-2.76, 3 Ho 2.85-2.94
Zn3 0.6522 0.3045 0.0168  2 Ga 2.70, 2 Al 2.75-2.76, 3 Ho 2.85-2.94
Zn4 0.3478 0.6955 0.5168  2 Ga 2.70, 2 Al 2.75-2.76, 3 Ho 2.85-2.94
Ga1 0.0000 0.0000 0.0000  4 Zn 2.70, 4 Al 3.00
Ga2 0.0000 0.0000 0.5000  4 Zn 2.70, 4 Al 3.00
Ho1 0.8026 0.6052 0.7500  6 Zn 2.85-2.94, 2 Ga 3.09, 2 Al 3.16
Ho2 0.1974 0.3948 0.2500  6 Zn 2.85-2.94, 2 Ga 3.09, 2 Al 3.16
Al1 0.4845 0.9690 0.2500  4 Zn 2.75-2.76, 4 Ga 3.00
Al2 0.5155 0.0310 0.7500  4 Zn 2.75-2.76, 4 Ga 3.00

Output
- energy (eV/atom) = -2.92
- calculated volume (Å³/cell) = 201
- total magnetization (μB per formula unit) = 0.0
- symmetry = Cmcm, No. 63
- D(E_F) (states/eV per cell) = 3.76

---

Material: Ho4AlZn2Ga
Method: DFT, PBE
State: relaxed

Lattice parameters (Å, degrees): 5.0327 5.0327 8.7328 73.25 73.25 60.00
Last column: nearest neighbours and their distance in Å.
Atoms (fractional coordinates):
Ho1 0.1261 0.1261 0.6217  3 Ga 3.07, 1 Al 3.11, 4 Zn 3.12-3.14
Ho2 0.8739 0.8739 0.3783  3 Ga 3.07, 1 Al 3.11, 4 Zn 3.12-3.14
Ho3 0.6237 0.6237 0.1289  4 Zn 3.04-3.05, 1 Ga 3.06, 3 Al 3.09
Ho4 0.3763 0.3763 0.8711  4 Zn 3.04-3.05, 1 Ga 3.06, 3 Al 3.09
Zn1 0.2532 0.2532 0.2405  8 Ho 3.04-3.14
Zn2 0.7468 0.7468 0.7595  8 Ho 3.04-3.14
Al1 0.0000 0.0000 0.0000  8 Ho 3.09-3.11
Ga1 0.5000 0.5000 0.5000  8 Ho 3.06-3.07

Output
- energy (eV/atom) = -3.88
- calculated volume (Å³/cell) = 181
- total magnetization (μB per formula unit) = 0.0
- symmetry = R-3m, No. 166
- D(E_F) (states/eV per cell) = 5.95

---

Material: HoAlZnGa
Method: DFT, PBE
State: relaxed

Lattice parameters (Å, degrees): 3.3455 5.1323 5.0193 90.00 90.00 90.00
Last column: nearest neighbours and their distance in Å.
Atoms (fractional coordinates):
Ho1 0.5000 0.5000 0.5000  4 Ga 3.02, 4 Zn 3.06, 2 Ho 3.35
Al1 0.0000 0.0000 0.0000  2 Zn 2.51, 2 Ga 2.57
Zn1 0.0000 0.0000 0.5000  2 Al 2.51
Ga1 0.0000 0.5000 0.0000  2 Al 2.57

Output
- energy (eV/atom) = -3.21
- ΔE to the lowest computed polymorph (meV/atom) = 199
- calculated volume (Å³/cell) = 86
- total magnetization (μB per formula unit) = 0.0
- symmetry = Pmmm, No. 47
- D(E_F) (states/eV per cell) = 1.90

---

Material: HoAlZnGa
Method: DFT, PBE
State: relaxed

Lattice parameters (Å, degrees): 4.7502 4.7502 4.7502 60.00 60.00 60.00
Last column: nearest neighbours and their distance in Å.
Atoms (fractional coordinates):
Zn1 0.7500 0.7500 0.7500  4 Al 2.91, 4 Ho 2.91
Ho1 0.5000 0.5000 0.5000  4 Ga 2.91, 4 Zn 2.91
Ga1 0.2500 0.2500 0.2500  4 Ho 2.91, 4 Al 2.91
Al1 0.0000 0.0000 0.0000  4 Zn 2.91, 4 Ga 2.91

Output
- energy (eV/atom) = -3.40
- ΔE to the lowest computed polymorph (meV/atom) = 0
- calculated volume (Å³/cell) = 76
- total magnetization (μB per formula unit) = 0.0
- symmetry = F-43m, No. 216
- D(E_F) (states/eV per cell) = 1.37

---

Material: AlGaI
Method: DFT, PBE
State: relaxed

Lattice parameters (Å, degrees): 6.2585 3.7876 8.5332 90.00 113.23 90.00
Last column: nearest neighbours and their distance in Å.
Atoms (fractional coordinates):
Al1 0.5520 0.0000 0.1586  3 Ga 2.52-2.64, 1 I 2.71
Al2 0.5520 0.5000 0.6586  3 Ga 2.52-2.64, 1 I 2.71
Ga1 0.4733 0.0000 0.4269  3 Al 2.52-2.64
Ga2 0.4733 0.5000 0.9269  3 Al 2.52-2.64
I1 0.9973 0.5000 0.6847  1 Al 2.71, 1 Ga 2.88
I2 0.9973 0.0000 0.1847  1 Al 2.71, 1 Ga 2.88

Output
- energy (eV/atom) = -2.79
- calculated volume (Å³/cell) = 186
- total magnetization (μB per formula unit) = 0.0
- symmetry = Cm, No. 8
- D(E_F) (states/eV per cell) = 1.20

---

Material: Al2Ga2I
Method: DFT, PBE
State: relaxed

Lattice parameters (Å, degrees): 4.4245 4.4245 6.6205 70.48 70.48 90.00
Last column: nearest neighbours and their distance in Å.
Atoms (fractional coordinates):
I1 0.0000 0.0000 0.0000  8 Ga 3.38, 8 Al 3.66
Ga1 0.3904 0.3904 0.2192  1 Ga 2.56, 4 Al 2.75
Ga2 0.6096 0.6096 0.7808  1 Ga 2.56, 4 Al 2.75
Al1 0.7500 0.2500 0.5000  4 Ga 2.75
Al2 0.2500 0.7500 0.5000  4 Ga 2.75

Output
- energy (eV/atom) = -2.87
- calculated volume (Å³/cell) = 114
- total magnetization (μB per formula unit) = 0.0
- symmetry = I4/mmm, No. 139
- D(E_F) (states/eV per cell) = 2.20

---

Material: AlGaI
Method: DFT, PBE
State: relaxed

Lattice parameters (Å, degrees): 3.7645 4.5476 11.3865 83.85 88.67 63.48
Last column: nearest neighbours and their distance in Å.
Atoms (fractional coordinates):
Ga1 0.9804 0.0325 0.5013  6 Al 2.62-2.86
Ga2 0.4268 0.1366 0.7063  3 Al 2.67-2.78, 2 I 2.81-2.82
I1 0.6923 0.5985 0.2240  2 Al 2.76-2.78
I2 0.9897 0.9997 0.8893  2 Ga 2.81-2.82
Al1 0.2498 0.4767 0.4024  3 Ga 2.64-2.77, 2 I 2.76-2.78
Al2 0.6941 0.5787 0.6035  6 Ga 2.62-2.86

Output
- energy (eV/atom) = -2.85
- calculated volume (Å³/cell) = 173
- total magnetization (μB per formula unit) = 0.0
- symmetry = P1, No. 1
- D(E_F) (states/eV per cell) = 1.80

---

Material: AlGa2I
Method: DFT, PBE
State: relaxed

Lattice parameters (Å, degrees): 4.3132 4.3132 7.8860 74.13 74.13 60.00
Last column: nearest neighbours and their distance in Å.
Atoms (fractional coordinates):
Al1 0.5000 0.5000 0.5000  6 Ga 2.67
Ga1 0.1234 0.1234 0.6297  3 Al 2.67, 1 I 2.77
Ga2 0.8766 0.8766 0.3703  3 Al 2.67, 1 I 2.77
I1 0.0000 0.0000 0.0000  2 Ga 2.77

Output
- energy (eV/atom) = -2.77
- ΔE to the lowest computed polymorph (meV/atom) = 0
- calculated volume (Å³/cell) = 121
- total magnetization (μB per formula unit) = 0.0
- symmetry = R-3m, No. 166
- D(E_F) (states/eV per cell) = 0.73